(1)
A relaxed YZr2B2 crystal, computed with PBE.

abc: 6.6700 6.6700 3.6687
angles: 90.00 90.00 90.00
Fractional coordinates of all 10 atoms:
B 0.9080 0.5920 0.0000
B 0.0920 0.4080 0.0000
B 0.4080 0.9080 0.0000
B 0.5920 0.0920 0.0000
Zr 0.3284 0.1716 0.5000
Zr 0.1716 0.6716 0.5000
Zr 0.8284 0.3284 0.5000
Zr 0.6716 0.8284 0.5000
Y 0.0000 0.0000 0.0000
Y 0.5000 0.5000 0.0000

Summary:
Space-group type = P4/mbm
ΔH_f (0 K) = -1.27 eV/f.u.
Offset from the most stable computed form = 0.000 eV/atom

(2)
A relaxed TiSbS2Cl crystal, computed with PBE.

abc: 5.1454 5.1454 5.0575
angles: 90.00 90.00 90.00
Site moments in Bohr magnetons follow the coordinates.
Fractional coordinates of all 5 atoms:
Ti 0.5000 0.5000 0.5000  -1.95
Cl 0.0000 0.0000 0.5000  0.00
S 0.0000 0.5000 0.0000  0.04
S 0.5000 0.0000 0.0000  0.04
Sb 0.0000 0.0000 0.0000  0.01

Summary:
Space-group type = P4/mmm
Formation energy without anion corrections = 0.26 eV per atom
Offset from the most stable computed form = 0.714 eV/atom

(3)
A relaxed Sb2PbAu crystal, computed with PBE.

abc: 6.2652 6.2652 6.2652
angles: 138.57 138.57 60.04
Fractional coordinates of all 4 atoms:
Pb 0.7500 0.2500 0.5000
Au 0.2500 0.7500 0.5000
Sb 0.5000 0.5000 0.0000
Sb 0.0000 0.0000 0.0000

Summary:
Space-group type = I4/mmm
Formation energy without anion corrections = 0.15 eV per atom

(4)
A relaxed Y2TlInH crystal, computed with PBE.

abc: 4.8324 4.8324 4.6597
angles: 90.00 90.00 90.00
Site moments in Bohr magnetons follow the coordinates.
Fractional coordinates of all 5 atoms:
In 0.0000 0.0000 0.5000  0.01
H 0.0000 0.0000 0.0000  -0.01
Y 0.0000 0.5000 0.0000  0.29
Y 0.5000 0.0000 0.0000  0.29
Tl 0.5000 0.5000 0.5000  0.00

Summary:
Space-group type = P4/mmm
Offset from the most stable computed form = 0.000 eV/atom

(5)
A relaxed Na2GeTe4 crystal, computed with PBE.

abc: 5.5220 5.5220 8.6963
angles: 71.49 71.49 90.00
Fractional coordinates of all 7 atoms:
Te 0.1816 0.1816 0.6368
Te 0.8184 0.8184 0.3632
Te 0.0000 0.5000 0.0000
Te 0.5000 0.0000 0.0000
Na 0.3778 0.3778 0.2444
Na 0.6222 0.6222 0.7556
Ge 0.0000 0.0000 0.0000

Summary:
Space-group type = I4/mmm
Formation energy without anion corrections = -0.07 eV per atom
Offset from the most stable computed form = 0.199 eV/atom

(6)
A relaxed Cd2TcCl crystal, computed with PBE.

abc: 2.9868 2.9868 9.5353
angles: 90.00 90.00 90.00
Fractional coordinates of all 4 atoms:
Tc 0.5000 0.5000 0.7285
Cd 0.5000 0.5000 0.2224
Cd 0.0000 0.0000 0.9527
Cl 0.0000 0.0000 0.5964

Summary:
Space-group type = P4mm
Formation energy without anion corrections = 0.28 eV per atom
Offset from the most stable computed form = 0.163 eV/atom

| no. | M_tot (μB/cell) | theoretical density (g cm⁻³) |
| --- | --- | --- |
| 1 | 0.00 | 5.96 |
| 2 | 2.17 | 3.34 |
| 3 | 0.00 | 10.09 |
| 4 | 1.01 | 7.60 |
| 5 | 0.00 | 4.41 |
| 6 | 0.00 | 6.99 |